(1)
Density functional theory data (PBE) for a relaxed NiHRh crystal.

Structure (POSCAR):
```
NiHRh
1.0
-1.3521 1.3521 4.2398
1.3521 -1.3521 4.2398
1.3521 1.3521 -4.2398
Ni H Rh
1 1 1
Direct
0.0000 0.0000 0.0000
0.7558 0.7558 0.0000
0.2893 0.2893 0.0000
```

Summary:
VASP energy: -0.19322 hartree per atom
Space-group type: I4mm
Mass density: 8.71 Mg/m³

=====

(2)
Density functional theory data (PBE) for a relaxed Nd2Er5Sc2 crystal.

Structure (POSCAR):
```
Nd2Er5Sc2
1.0
-8.2094 5.2466 3.2713
8.2094 -5.2466 3.2713
8.2094 5.2466 -3.2713
Nd Er Sc
4 10 4
Direct
0.0000 0.0000 0.0000
0.0000 0.5000 0.5000
0.1745 0.9458 0.7287
0.2171 0.4458 0.2713
0.0433 0.5086 0.8415
0.0433 0.7017 0.0347
0.4606 0.2528 0.3163
0.4606 0.6443 0.7078
0.5896 0.4562 0.6335
0.6670 0.0086 0.9653
0.6670 0.2017 0.1585
0.8227 0.9562 0.3665
0.9365 0.1443 0.6837
0.9365 0.7528 0.2922
0.4281 0.5466 0.0489
0.4281 0.8792 0.3815
0.4978 0.0466 0.6185
0.4978 0.3792 0.9511
```

Summary:
VASP energy: -0.17424 hartree per atom
Space-group type: Ima2
Mass density: 7.16 Mg/m³
ΔH_f (0 K): 0.26 eV/atom